Density functional theory data (PBE) for crystalline Rb2BaTiS4 at its relaxed geometry. Values from VASP.

Results
Calculated volume, Å³/cell: 571
ΔE_f (raw), eV/atom: -1.46
VASP energy, eV/atom: -4.9971

Geometry as Quantum ESPRESSO input:
```
&SYSTEM
  ibrav = 0, nat = 16, ntyp = 4
/
ATOMIC_SPECIES
Rb 85.47 Rb.upf
Ba 137.33 Ba.upf
Ti 47.87 Ti.upf
S 32.06 S.upf
CELL_PARAMETERS angstrom
8.964 0.000 0.000
0.000 9.626 0.000
0.000 0.000 6.615
ATOMIC_POSITIONS crystal
Rb 0.214 0.142 0.000
Rb 0.286 0.858 0.500
Rb 0.714 0.858 0.500
Rb 0.786 0.142 0.000
Ba 0.000 0.398 0.488
Ba 0.500 0.602 0.988
Ti 0.000 0.682 0.926
Ti 0.500 0.318 0.426
S 0.000 0.447 0.993
S 0.000 0.696 0.588
S 0.217 0.795 0.015
S 0.283 0.205 0.515
S 0.500 0.304 0.088
S 0.500 0.553 0.493
S 0.717 0.205 0.515
S 0.783 0.795 0.015
```